LiAc2PmSe4 PBE-GGA relaxed; space group = P2/m (10); N(E_F) = 0.34 states/eV per atom; total moment = 0.00 μB/cell; ΔE_f (raw) = -1.765 eV per atom
1.0
-1.687 2.092 3.402
-1.934 -6.424 2.992
5.594 -2.583 4.362
Se Li Ac Pm
4 1 2 1
Direct
0.500 0.272 0.749
0.000 0.273 0.238
0.000 0.727 0.762
0.500 0.728 0.251
0.500 0.500 0.000
0.500 0.000 0.500
0.000 0.000 0.000
0.000 0.500 0.500